Here is a relaxed structure of ZrCoIO2 from Alexandria via LeMat-Bulk. Energies are from PBE+U.

The structure belongs to space group P4/mmm (No. 123); the cell edges are 4.054, 4.054 and 4.924 Å and the angles 90.00°, 90.00° and 90.00°. The distinct sites, in fractional coordinates, are Zr at (0.000, 0.000, 0.000), Co at (0.500, 0.500, 0.500), I at (0.500, 0.500, 0.000) and O at (0.000, 0.500, 0.500).

The size of the total moment is 2.5 μB/cell. For the total energy, the calculation gives -5.19 eV per atom. The excess energy over the best structure of this formula in the dataset comes out at 110.7 kJ/mol of atoms. As for the crystal system: tetragonal.